Entry 1:
YScSb4 (GGA-PBEsol, optimized geometry); symmetry = F-43m (216); formation energy from raw total energies = -0.29 eV/f.u.; calculated volume = 27.12 Å³/atom
1.0
-0.9751 -0.2080 6.0463
-5.5844 -1.3044 2.1599
-1.0422 -5.3749 2.7524
Sb Sc Y
4 1 1
Cartesian
-3.3723 -5.2676 5.4856
-2.8519 -2.5839 4.1114
-3.3388 -2.6878 7.1303
-5.6402 -3.2352 5.1898
-5.7012 -5.1654 8.2189
0.0000 0.0000 0.0000

---

Entry 2:
YScSb2 (GGA-PBEsol, optimized geometry); symmetry = P4/mmm (123); ΔE to the lowest computed polymorph = 28 meV/atom; formation energy from raw total energies = -4.22 eV/f.u.; calculated volume = 26.65 Å³/atom
1.0
4.2260 0.0000 0.0000
0.0000 4.2260 0.0000
0.0000 0.0000 5.9697
Sb Sc Y
2 1 1
Cartesian
2.1130 2.1130 2.9848
0.0000 0.0000 0.0000
2.1130 2.1130 0.0000
0.0000 0.0000 2.9848

---

Entry 3:
ScZnSb2 (GGA-PBEsol, optimized geometry); symmetry = I-42d (122); formation energy from raw total energies = -1.01 eV/f.u.; calculated volume = 22.94 Å³/atom
1.0
-3.3122 -2.8314 4.4634
5.0245 -2.9298 -2.2537
2.1824 5.2170 2.6322
Zn Sb Sc
2 4 2
Cartesian
4.0316 -0.2967 0.7417
0.0000 0.0000 0.0000
1.1143 1.8278 1.5823
-1.0439 -3.5129 3.2483
5.3667 1.5285 2.1460
2.3524 -0.9316 2.7072
-0.1368 -0.2475 4.1002
0.8562 -2.8806 1.1048